Record 1
Material: PuGeSb
Method: DFT, PBE
State: relaxed

Cell lengths 4.4082, 15.8403, 4.1156 Å; angles 90.00, 90.00, 90.00 degrees
Closest atoms and distances in Å follow each position.
Space group Cmcm (No. 63)
Inequivalent atoms, fractional coordinates:
Pu1 0.0000 0.0944 0.2500  6 Ge 3.09-3.21, 4 Sb 3.25-3.27
Ge1 0.0000 0.4473 0.2500  2 Ge 2.65
Sb1 0.0000 0.2532 0.7500  4 Sb 3.02, 4 Pu 3.25-3.27

Output
Formation energy from raw total energies (eV per formula unit): -1.39

=====

Record 2
Material: LaYMgTc
Method: DFT, PBE
State: relaxed

Cell lengths 7.2923, 7.2923, 7.2923 Å; angles 90.00, 90.00, 90.00 degrees
Closest atoms and distances in Å follow each position.
Space group F-43m (No. 216)
Inequivalent atoms, fractional coordinates:
La1 0.0000 0.0000 0.0000  4 Mg 3.16, 4 Tc 3.16
Y1 0.0000 0.0000 0.5000  4 Tc 3.16, 4 Mg 3.16
Mg1 0.2500 0.2500 0.2500  4 La 3.16, 4 Y 3.16
Tc1 0.2500 0.2500 0.7500  4 La 3.16, 4 Y 3.16

Output
Formation enthalpy at 0 K (kJ/mol of formula units): 23

=====

Record 3
Material: Dy6GeSe5
Method: DFT, PBE
State: relaxed

Cell lengths 7.0901, 12.2638, 7.1129 Å; angles 90.00, 109.29, 90.00 degrees
Closest atoms and distances in Å follow each position.
Space group C2/m (No. 12)
Inequivalent atoms, fractional coordinates:
Dy1 0.2423 0.0000 0.2571  1 Ge 2.81, 5 Se 2.90-2.98
Dy2 0.2424 0.1620 0.7426  1 Ge 2.81, 5 Se 2.90-2.96
Ge1 0.0000 0.0000 0.5000  6 Dy 2.81
Se1 0.0000 0.1691 0.0000  6 Dy 2.90-2.96
Se2 0.0000 0.3336 0.5000  6 Dy 2.90
Se3 0.0000 0.5000 0.0000  6 Dy 2.90-2.98

Output
Formation energy from raw total energies (eV per formula unit): -20.09

=====

Ordered V results: 71.85 96.95 291.87; unit Å³/f.u..
Ordered raw total energy results: -8.15 -5.78 -5.81; unit eV/atom.